# 1
# Zr5Sc

Zr5Sc after structural relaxation (PBE-GGA, the Alexandria database).

abc: 3.2354 5.1341 8.6081
angles: 90.00 100.83 90.00
Last column: nearest neighbours and their distance in Å.
Fractional positions:
Zr  0.0004  0.0000  0.0009  2 Sc 3.17, 10 Zr 3.18-3.26
Zr  0.3336  0.0000  0.6673  12 Zr 3.18-3.25
Zr  0.6675  0.0000  0.3350  8 Zr 3.17-3.26, 4 Sc 3.19
Zr  0.4442  0.5000  0.8885  10 Zr 3.18-3.25, 2 Sc 3.24
Zr  0.7775  0.5000  0.5550  10 Zr 3.17-3.25, 2 Sc 3.26
Sc  0.1100  0.5000  0.2201  10 Zr 3.17-3.26, 2 Sc 3.24

Output
volume	140.4	Å³/f.u.
final energy	-8.195	eV per atom
ΔE_f	-0.02	eV per atom

=====

# 2
# ZrSc2

ZrSc2 after structural relaxation (PBE-GGA, the Alexandria database).

abc: 5.0371 5.0371 6.4040
angles: 90.00 90.00 60.00
Last column: nearest neighbours and their distance in Å.
Fractional positions:
Sc  0.0000  0.0000  0.0000  8 Sc 3.20-3.32, 6 Zr 3.32
Sc  0.0000  0.0000  0.5000  8 Sc 3.20-3.32, 6 Zr 3.32
Sc  0.6667  0.6667  0.2500  5 Zr 2.91-3.20
Sc  0.3333  0.3333  0.7500  5 Zr 2.91-3.20
Zr  0.3333  0.3333  0.2500  5 Sc 2.91-3.20
Zr  0.6667  0.6667  0.7500  5 Sc 2.91-3.20

Output
volume	70.4	Å³/f.u.
final energy	-7.020	eV per atom
ΔE_f	0.05	eV per atom

=====

# 3
# ZrSc2

ZrSc2 after structural relaxation (PBE-GGA, the Alexandria database).

abc: 5.7092 5.7092 5.0901
angles: 90.00 90.00 120.42
Last column: nearest neighbours and their distance in Å.
Fractional positions:
Sc  0.5048  0.8324  0.2500  5 Zr 3.17-3.33, 7 Sc 3.18-3.31
Sc  0.4952  0.1676  0.7500  5 Zr 3.17-3.33, 7 Sc 3.18-3.31
Sc  0.8324  0.5048  0.2500  5 Zr 3.17-3.33, 7 Sc 3.18-3.31
Sc  0.1676  0.4952  0.7500  5 Zr 3.17-3.33, 7 Sc 3.18-3.31
Zr  0.1593  0.1593  0.2500  2 Zr 3.12, 10 Sc 3.17-3.33
Zr  0.8407  0.8407  0.7500  2 Zr 3.12, 10 Sc 3.17-3.33

Output
volume	71.5	Å³/f.u.
final energy	-7.086	eV per atom
ΔE_f	-0.02	eV per atom

=====

# 4
# ZrSc3

ZrSc3 after structural relaxation (PBE-GGA, the Alexandria database).

abc: 5.7904 5.7904 5.7904
angles: 90.00 90.00 90.00
Last column: nearest neighbours and their distance in Å.
Fractional positions:
Zr  0.0000  0.0000  0.0000  12 Sc 3.24
Zr  0.5000  0.5000  0.5000  12 Sc 3.24
Sc  0.0000  0.2500  0.5000  2 Sc 2.90, 4 Zr 3.24
Sc  0.0000  0.7500  0.5000  2 Sc 2.90, 4 Zr 3.24
Sc  0.2500  0.5000  0.0000  2 Sc 2.90, 4 Zr 3.24
Sc  0.5000  0.0000  0.2500  2 Sc 2.90, 4 Zr 3.24
Sc  0.5000  0.0000  0.7500  2 Sc 2.90, 4 Zr 3.24
Sc  0.7500  0.5000  0.0000  2 Sc 2.90, 4 Zr 3.24

Output
polymorph energy (0 for the lowest one)	0.217	eV per atom
volume	97.1	Å³/f.u.
final energy	-6.680	eV per atom
ΔE_f	0.21	eV per atom

=====

# 5
# ZrSc2

ZrSc2 after structural relaxation (PBE-GGA, the Alexandria database).

abc: 3.2265 3.2265 7.9375
angles: 90.00 90.00 120.00
Last column: nearest neighbours and their distance in Å.
Fractional positions:
Sc  0.0000  0.0000  0.0088  3 Zr 3.18, 9 Sc 3.23-3.35
Sc  0.3333  0.6667  0.6578  3 Zr 3.18, 9 Sc 3.23-3.35
Zr  0.6667  0.3333  0.3333  6 Sc 3.18, 6 Zr 3.23

Output
volume	71.6	Å³/f.u.
final energy	-7.046	eV per atom
ΔE_f	0.02	eV per atom

=====

# 6
# Zr3Sc

Zr3Sc after structural relaxation (PBE-GGA, the Alexandria database).

abc: 6.4900 5.1292 5.6238
angles: 90.00 90.00 90.00
Last column: nearest neighbours and their distance in Å.
Fractional positions:
Sc  0.0000  0.0000  0.6649  12 Zr 3.17-3.26
Sc  0.5000  0.5000  0.3351  12 Zr 3.17-3.26
Zr  0.0000  0.5000  0.3323  8 Zr 3.17-3.25, 4 Sc 3.17-3.25
Zr  0.5000  0.0000  0.6677  8 Zr 3.17-3.25, 4 Sc 3.17-3.25
Zr  0.2490  0.0000  0.1677  8 Zr 3.17-3.26, 4 Sc 3.18-3.26
Zr  0.7510  0.0000  0.1677  8 Zr 3.17-3.26, 4 Sc 3.18-3.26
Zr  0.7490  0.5000  0.8323  8 Zr 3.17-3.26, 4 Sc 3.18-3.26
Zr  0.2510  0.5000  0.8323  8 Zr 3.17-3.26, 4 Sc 3.18-3.26

Output
polymorph energy (0 for the lowest one)	0.002	eV per atom
volume	93.6	Å³/f.u.
final energy	-8.022	eV per atom
ΔE_f	-0.03	eV per atom

=====

# 7
# ZrSc2

ZrSc2 after structural relaxation (PBE-GGA, the Alexandria database).

abc: 3.2722 6.1288 7.6259
angles: 102.74 90.00 105.48
Last column: nearest neighbours and their distance in Å.
Fractional positions:
Zr  0.4743  0.9486  0.1929  3 Zr 3.14-3.27, 9 Sc 3.15-3.27
Zr  0.5257  0.0514  0.8071  3 Zr 3.14-3.27, 9 Sc 3.15-3.27
Sc  0.8085  0.6170  0.8627  5 Zr 3.15-3.27, 7 Sc 3.19-3.33
Sc  0.1915  0.3830  0.1373  5 Zr 3.15-3.27, 7 Sc 3.19-3.33
Sc  0.8665  0.7330  0.4736  8 Sc 3.09-3.33, 4 Zr 3.18-3.24
Sc  0.1335  0.2670  0.5264  8 Sc 3.09-3.33, 4 Zr 3.18-3.24

Output
volume	71.7	Å³/f.u.
final energy	-7.095	eV per atom
ΔE_f	-0.02	eV per atom

=====

# 8
# ZrSc2

ZrSc2 after structural relaxation (PBE-GGA, the Alexandria database).

abc: 4.5514 4.5514 14.1280
angles: 99.27 99.27 90.00
Last column: nearest neighbours and their distance in Å.
Fractional positions:
Sc  0.2501  0.2501  0.5003  8 Sc 3.22-3.26, 4 Zr 3.28
Sc  0.7499  0.7499  0.4997  8 Sc 3.22-3.26, 4 Zr 3.28
Sc  0.5001  0.0001  0.0003  8 Sc 3.22-3.26, 4 Zr 3.28
Sc  0.9999  0.4999  0.9997  8 Sc 3.22-3.26, 4 Zr 3.28
Sc  0.4154  0.4154  0.8309  6 Zr 3.16-3.22, 6 Sc 3.18-3.26
Sc  0.5846  0.5846  0.1691  6 Zr 3.16-3.22, 6 Sc 3.18-3.26
Sc  0.6654  0.1654  0.3309  6 Zr 3.16-3.22, 6 Sc 3.18-3.26
Sc  0.8346  0.3346  0.6691  6 Zr 3.16-3.22, 6 Sc 3.18-3.26
Zr  0.0859  0.0859  0.1718  2 Zr 3.13, 10 Sc 3.16-3.28
Zr  0.9141  0.9141  0.8282  2 Zr 3.13, 10 Sc 3.16-3.28
Zr  0.3359  0.8359  0.6718  2 Zr 3.13, 10 Sc 3.16-3.28
Zr  0.1641  0.6641  0.3282  2 Zr 3.13, 10 Sc 3.16-3.28

Output
volume	71.2	Å³/f.u.
final energy	-7.049	eV per atom
ΔE_f	0.02	eV per atom

=====

# 9
# ZrSc3

ZrSc3 after structural relaxation (PBE-GGA, the Alexandria database).

abc: 4.5774 4.5774 9.6194
angles: 103.76 103.76 90.00
Last column: nearest neighbours and their distance in Å.
Fractional positions:
Sc  0.0000  0.5000  0.0000  4 Zr 3.22, 8 Sc 3.22-3.24
Sc  0.5000  0.0000  0.0000  4 Zr 3.22, 8 Sc 3.22-3.24
Sc  0.2500  0.7500  0.5000  8 Sc 3.22-3.24, 4 Zr 3.22
Sc  0.7500  0.2500  0.5000  8 Sc 3.22-3.24, 4 Zr 3.22
Sc  0.1253  0.1253  0.2506  8 Sc 3.22, 4 Zr 3.24
Sc  0.8747  0.8747  0.7494  8 Sc 3.22, 4 Zr 3.24
Zr  0.3754  0.3754  0.7507  12 Sc 3.22-3.24
Zr  0.6246  0.6246  0.2493  12 Sc 3.22-3.24

Output
polymorph energy (0 for the lowest one)	0.037	eV per atom
volume	94.9	Å³/f.u.
final energy	-6.860	eV per atom
ΔE_f	0.03	eV per atom

=====

# 10
# Zr3Sc

Zr3Sc after structural relaxation (PBE-GGA, the Alexandria database).

abc: 6.4742 6.4742 8.5963
angles: 67.88 67.88 60.00
Last column: nearest neighbours and their distance in Å.
Fractional positions:
Zr  0.2231  0.7224  0.3321  8 Zr 3.18-3.24, 4 Sc 3.18-3.24
Zr  0.7224  0.2231  0.3321  8 Zr 3.18-3.24, 4 Sc 3.18-3.24
Zr  0.7224  0.7224  0.3321  8 Zr 3.18-3.24, 4 Sc 3.18-3.24
Zr  0.0000  0.5000  0.0000  8 Zr 3.18-3.24, 4 Sc 3.20-3.24
Zr  0.5000  0.5000  0.0000  8 Zr 3.18-3.24, 4 Sc 3.20-3.24
Zr  0.5000  0.0000  0.0000  8 Zr 3.18-3.24, 4 Sc 3.20-3.24
Zr  0.2776  0.7769  0.6679  8 Zr 3.18-3.24, 4 Sc 3.18-3.24
Zr  0.7769  0.2776  0.6679  8 Zr 3.18-3.24, 4 Sc 3.18-3.24
Zr  0.2776  0.2776  0.6679  8 Zr 3.18-3.24, 4 Sc 3.18-3.24
Sc  0.7786  0.7786  0.6641  12 Zr 3.18-3.24
Sc  0.2214  0.2214  0.3359  12 Zr 3.18-3.24
Sc  0.0000  0.0000  0.0000  12 Zr 3.18-3.24

Output
polymorph energy (0 for the lowest one)	0.028	eV per atom
volume	93.7	Å³/f.u.
final energy	-7.995	eV per atom
ΔE_f	0.00	eV per atom

=====

# 11
# ZrSc2

ZrSc2 after structural relaxation (PBE-GGA, the Alexandria database).

abc: 6.8475 6.8475 6.8475
angles: 90.00 90.00 90.00
Last column: nearest neighbours and their distance in Å.
Fractional positions:
Sc  0.3522  0.3522  0.3522  3 Zr 2.80
Sc  0.6478  0.6478  0.6478  3 Zr 2.80
Sc  0.8522  0.1478  0.6478  3 Zr 2.80
Sc  0.1478  0.8522  0.3522  3 Zr 2.80
Sc  0.6478  0.8522  0.1478  3 Zr 2.80
Sc  0.3522  0.1478  0.8522  3 Zr 2.80
Sc  0.1478  0.6478  0.8522  3 Zr 2.80
Sc  0.8522  0.3522  0.1478  3 Zr 2.80
Zr  0.0000  0.0000  0.0000  6 Sc 2.80
Zr  0.5000  0.5000  0.0000  6 Sc 2.80
Zr  0.5000  0.0000  0.5000  6 Sc 2.80
Zr  0.0000  0.5000  0.5000  6 Sc 2.80

Output
volume	80.3	Å³/f.u.
final energy	-6.194	eV per atom
ΔE_f	0.88	eV per atom

=====

# 12
# Zr3Sc

Zr3Sc after structural relaxation (PBE-GGA, the Alexandria database).

abc: 6.4744 6.4744 10.3170
angles: 90.00 90.00 60.00
Last column: nearest neighbours and their distance in Å.
Fractional positions:
Sc  0.0000  0.0000  0.0000  12 Zr 3.19-3.24
Sc  0.0000  0.0000  0.5000  12 Zr 3.19-3.24
Sc  0.6667  0.6667  0.2500  12 Zr 3.19-3.24
Sc  0.3333  0.3333  0.7500  12 Zr 3.19-3.24
Zr  0.5000  0.5000  0.0000  8 Zr 3.18-3.24, 4 Sc 3.19-3.24
Zr  0.5000  0.5000  0.5000  8 Zr 3.18-3.24, 4 Sc 3.19-3.24
Zr  0.8331  0.3337  0.7500  8 Zr 3.18-3.24, 4 Sc 3.19-3.24
Zr  0.3337  0.8331  0.7500  8 Zr 3.18-3.24, 4 Sc 3.19-3.24
Zr  0.1669  0.1669  0.2500  8 Zr 3.18-3.24, 4 Sc 3.19-3.24
Zr  0.5000  0.0000  0.0000  8 Zr 3.18-3.24, 4 Sc 3.19-3.24
Zr  0.5000  0.0000  0.5000  8 Zr 3.18-3.24, 4 Sc 3.19-3.24
Zr  0.0000  0.5000  0.0000  8 Zr 3.18-3.24, 4 Sc 3.19-3.24
Zr  0.0000  0.5000  0.5000  8 Zr 3.18-3.24, 4 Sc 3.19-3.24
Zr  0.8331  0.8331  0.7500  8 Zr 3.18-3.24, 4 Sc 3.19-3.24
Zr  0.6663  0.1669  0.2500  8 Zr 3.18-3.24, 4 Sc 3.19-3.24
Zr  0.1669  0.6663  0.2500  8 Zr 3.18-3.24, 4 Sc 3.19-3.24

Output
polymorph energy (0 for the lowest one)	0.037	eV per atom
volume	93.6	Å³/f.u.
final energy	-7.986	eV per atom
ΔE_f	0.01	eV per atom

=====

> What is the formula in the first record?

Zr5Sc

=====

> Among the records above, which one has the lowest ΔE_f?

number 6

=====

> Among the records above, which one has the highest volume?

Zr5Sc